Crystalline Sc2NbInC at its relaxed geometry. Source: Alexandria via LeMat-Bulk, functional PBE.

The total energy is -7.427 eV/atom. The calculation puts the density of states at the Fermi level at 3.3 states/eV/cell. Its formation energy from the elements is -0.4877 eV per atom. The magnetic moment is 0.00 μB/cell.

The structure belongs to space group P4/mmm (No. 123); the cell edges are 4.528, 4.528 and 4.376 Å and the angles 90.00°, 90.00° and 90.00°. The inequivalent atoms are Sc at (0.000, 0.500, 0.000), Nb at (0.000, 0.000, 0.500), In at (0.500, 0.500, 0.500) and C at (0.000, 0.000, 0.000).



Crystalline CaGdHg2 at its relaxed geometry. Source: Alexandria via LeMat-Bulk, functional PBE.

The total energy is -4.712 eV/atom. The calculation puts the density of states at the Fermi level at 13.8 states/eV/cell. Its formation energy from the elements is -0.5401 eV per atom. The magnetic moment is 29.15 μB/cell.

The structure belongs to space group Fm-3m (No. 225); the cell edges are 7.529, 7.529 and 7.529 Å and the angles 90.00°, 90.00° and 90.00°. The inequivalent atoms are Ca at (0.000, 0.000, 0.000), Gd at (0.000, 0.000, 0.500) and Hg at (0.250, 0.250, 0.250).



Crystalline Ac2PmZn3Pd4 at its relaxed geometry. Source: Alexandria via LeMat-Bulk, functional PBE.

The total energy is -4.398 eV/atom. The calculation puts the density of states at the Fermi level at 6.8 states/eV/cell. Its formation energy from the elements is -0.6423 eV per atom. The magnetic moment is 0.00 μB/cell.

The structure belongs to space group P-4m2 (No. 115); the cell edges are 4.480, 4.480 and 11.293 Å and the angles 90.00°, 90.00° and 90.00°. The inequivalent atoms are Ac at (0.000, 0.500, 0.219), Pm at (0.000, 0.000, 0.500), Zn at (0.000, 0.500, 0.888), Zn at (0.500, 0.500, 0.500), Pd at (0.000, 0.000, 0.000), Pd at (0.000, 0.500, 0.660) and Pd at (0.500, 0.500, 0.000).



Crystalline La2Pm2HoEr at its relaxed geometry. Source: Alexandria via LeMat-Bulk, functional PBE.

The total energy is -4.692 eV/atom. The calculation puts the density of states at the Fermi level at 18.7 states/eV/cell. Its formation energy from the elements is 0.0573 eV per atom. The magnetic moment is 0.00 μB/cell.

The structure belongs to space group Pmma (No. 51); the cell edges are 7.109, 5.739 and 9.948 Å and the angles 90.00°, 90.00° and 90.00°. The inequivalent atoms are La at (0.000, 0.000, 0.000), La at (0.250, 0.500, 0.178), Pm at (0.250, 0.000, 0.332), Pm at (0.250, 0.500, 0.834), Ho at (0.250, 0.000, 0.656) and Er at (0.000, 0.500, 0.500).



Crystalline Sm2PuAl2Ru5 at its relaxed geometry. Source: Alexandria via LeMat-Bulk, functional PBE.

The total energy is -8.121 eV/atom. The calculation puts the density of states at the Fermi level at 19.3 states/eV/cell. Its formation energy from the elements is -0.3577 eV per atom. The magnetic moment is 6.03 μB/cell.

The structure belongs to space group P4/mbm (No. 127); the cell edges are 10.276, 10.276 and 3.386 Å and the angles 90.00°, 90.00° and 90.00°. The inequivalent atoms are Sm at (0.171, 0.329, 0.000), Pu at (0.000, 0.000, 0.000), Al at (0.126, 0.626, 0.000), Ru at (0.000, 0.500, 0.500) and Ru at (0.067, 0.798, 0.500).



- Which value of formation energy from the elements does entry 4 give?
  0.0573 eV per atom